VASP calculation (PBE) on crystalline NpAl3 at its relaxed geometry.

a = 2.729 Å, b = 5.491 Å, c = 5.892 Å
α = 117.77°, β = 103.39°, γ = 90.00°
Sites, in units of the cell vectors:
1 Np 0.000 0.009 0.000
2 Al 0.753 0.078 0.507
3 Al 0.500 0.509 0.000
4 Al 0.247 0.571 0.493

crystal system	orthorhombic
calculated formation energy	-0.02	eV/atom
calculated density	7.00	g/cm3



VASP calculation (PBE) on crystalline NpAl6 at its relaxed geometry.

a = 5.806 Å, b = 5.806 Å, c = 7.969 Å
α = 90.00°, β = 90.00°, γ = 90.00°
Sites, in units of the cell vectors:
1 Al 0.323 0.823 0.354
2 Al 0.823 0.323 0.646
3 Al 0.500 0.500 0.844
4 Al 0.000 0.000 0.156
5 Al 0.677 0.177 0.354
6 Al 0.000 0.000 0.844
7 Al 0.500 0.500 0.156
8 Al 0.323 0.177 0.646
9 Al 0.177 0.677 0.646
10 Al 0.177 0.323 0.354
11 Al 0.677 0.823 0.646
12 Al 0.823 0.677 0.354
13 Np 0.000 0.500 0.000
14 Np 0.500 0.000 0.000

crystal system	tetragonal
calculated formation energy	0.02	eV/atom
calculated density	4.93	g/cm3



VASP calculation (PBE) on crystalline NpAl3 at its relaxed geometry.

a = 4.744 Å, b = 2.751 Å, c = 5.775 Å
α = 90.00°, β = 90.00°, γ = 90.00°
Sites, in units of the cell vectors:
1 Al 0.500 0.500 0.180
2 Al 0.000 0.000 0.018
3 Al 0.000 0.500 0.452
4 Np 0.500 0.000 0.683

crystal system	orthorhombic
calculated formation energy	0.01	eV/atom
calculated density	7.00	g/cm3



VASP calculation (PBE) on crystalline NpAl3 at its relaxed geometry.

a = 6.133 Å, b = 6.133 Å, c = 4.697 Å
α = 90.00°, β = 90.00°, γ = 120.00°
Sites, in units of the cell vectors:
1 Np 0.667 0.333 0.250
2 Np 0.333 0.667 0.750
3 Al 0.308 0.154 0.750
4 Al 0.692 0.846 0.250
5 Al 0.154 0.846 0.250
6 Al 0.846 0.154 0.750
7 Al 0.846 0.692 0.750
8 Al 0.154 0.308 0.250

crystal system	hexagonal
calculated formation energy	-0.09	eV/atom
calculated density	6.90	g/cm3